{"formula": "RhBr2F", "functional": "PBE-GGA", "state": "relaxed", "cell": [[-3.462, -1.046, 0.614], [0.667, -3.441, -2.101], [0.322, -3.857, 6.164]], "species": ["Rh", "Br", "Br", "F"], "fractional_positions": [[0.017, 0.000, 0.000], [0.392, 0.992, 0.241], [0.632, 0.008, 0.759], [0.959, 0.500, 0.000]], "spacegroup": "No. 5", "magmom_total_mub_per_fu": 0.0, "e_form_raw_mev_per_atom": -697}